# 1
FePCl2: relaxed, PBE.

Structure (CIF):
```
data_FePCl2
_chemical_formula_sum 'Fe2 P2 Cl4'
_cell_length_a 3.1959
_cell_length_b 3.4999
_cell_length_c 15.1061
_cell_angle_alpha 90.00
_cell_angle_beta 90.00
_cell_angle_gamma 90.00
_symmetry_space_group_name_H-M 'I m m m'
_symmetry_Int_Tables_number 71
_symmetry_space_group_name_Hall '-I 2 2'
loop_
_atom_site_label
_atom_site_fract_x
_atom_site_fract_y
_atom_site_fract_z
Fe1 0.0000 0.0000 0.0000
P1 0.0000 0.0000 0.5000
Cl1 0.0000 0.5000 0.1383
```

***

# 2
FeP2Cl: relaxed, PBE.

Structure (CIF):
```
data_FeP2Cl
_chemical_formula_sum 'Fe4 P8 Cl4'
_cell_length_a 6.0717
_cell_length_b 6.0717
_cell_length_c 6.0717
_cell_angle_alpha 90.00
_cell_angle_beta 90.00
_cell_angle_gamma 90.00
_symmetry_space_group_name_H-M 'F m -3 m'
_symmetry_Int_Tables_number 225
_symmetry_space_group_name_Hall '-F 4 2 3'
loop_
_atom_site_label
_atom_site_fract_x
_atom_site_fract_y
_atom_site_fract_z
Fe1 0.0000 0.0000 0.0000
P1 0.2500 0.2500 0.2500
Cl1 0.0000 0.0000 0.5000
```

***

# 3
FeP2Cl: relaxed, PBE.

Structure (CIF):
```
data_FeP2Cl
_chemical_formula_sum 'Fe1 P2 Cl1'
_cell_length_a 3.1359
_cell_length_b 3.1359
_cell_length_c 7.1281
_cell_angle_alpha 90.00
_cell_angle_beta 90.00
_cell_angle_gamma 90.00
_symmetry_space_group_name_H-M 'P 4 m m'
_symmetry_Int_Tables_number 99
_symmetry_space_group_name_Hall 'P 4 -2'
loop_
_atom_site_label
_atom_site_fract_x
_atom_site_fract_y
_atom_site_fract_z
Fe1 0.0000 0.0000 0.0000
P1 0.0000 0.0000 0.3345
P2 0.5000 0.5000 0.2121
Cl1 0.5000 0.5000 0.7875
```

***

# 4
FeP2Cl: relaxed, PBE.

Structure (CIF):
```
data_FeP2Cl
_chemical_formula_sum 'Fe1 P2 Cl1'
_cell_length_a 4.7649
_cell_length_b 4.7649
_cell_length_c 2.6713
_cell_angle_alpha 90.00
_cell_angle_beta 90.00
_cell_angle_gamma 90.00
_symmetry_space_group_name_H-M 'P 4/m m m'
_symmetry_Int_Tables_number 123
_symmetry_space_group_name_Hall '-P 4 2'
loop_
_atom_site_label
_atom_site_fract_x
_atom_site_fract_y
_atom_site_fract_z
Fe1 0.0000 0.0000 0.0000
P1 0.0000 0.5000 0.5000
Cl1 0.5000 0.5000 0.0000
```

***

# 5
FePCl2: relaxed, PBE.

Structure (CIF):
```
data_FePCl2
_chemical_formula_sum 'Fe1 P1 Cl2'
_cell_length_a 3.0646
_cell_length_b 4.0936
_cell_length_c 5.7962
_cell_angle_alpha 90.00
_cell_angle_beta 90.00
_cell_angle_gamma 90.00
_symmetry_space_group_name_H-M 'P m m m'
_symmetry_Int_Tables_number 47
_symmetry_space_group_name_Hall '-P 2 2'
loop_
_atom_site_label
_atom_site_fract_x
_atom_site_fract_y
_atom_site_fract_z
Fe1 0.0000 0.0000 0.0000
P1 0.5000 0.0000 0.5000
Cl1 0.0000 0.5000 0.5000
Cl2 0.5000 0.5000 0.0000
```

***

# 6
FePCl2: relaxed, PBE.

Structure (CIF):
```
data_FePCl2
_chemical_formula_sum 'Fe3 P3 Cl6'
_cell_length_a 3.0374
_cell_length_b 3.0374
_cell_length_c 25.7743
_cell_angle_alpha 90.00
_cell_angle_beta 90.00
_cell_angle_gamma 120.00
_symmetry_space_group_name_H-M 'R -3 m'
_symmetry_Int_Tables_number 166
_symmetry_space_group_name_Hall '-R 3 2"'
loop_
_atom_site_label
_atom_site_fract_x
_atom_site_fract_y
_atom_site_fract_z
Fe1 0.0000 0.0000 0.0000
P1 0.0000 0.0000 0.5000
Cl1 0.0000 0.0000 0.0815
```

***

# 7
FePCl3: relaxed, PBE.

Structure (CIF):
```
data_FePCl3
_chemical_formula_sum 'Fe1 P1 Cl3'
_cell_length_a 4.8861
_cell_length_b 4.8861
_cell_length_c 4.8861
_cell_angle_alpha 90.00
_cell_angle_beta 90.00
_cell_angle_gamma 90.00
_symmetry_space_group_name_H-M 'P m -3 m'
_symmetry_Int_Tables_number 221
_symmetry_space_group_name_Hall '-P 4 2 3'
loop_
_atom_site_label
_atom_site_fract_x
_atom_site_fract_y
_atom_site_fract_z
Fe1 0.0000 0.0000 0.0000
P1 0.5000 0.5000 0.5000
Cl1 0.0000 0.5000 0.5000
```

***

# 8
FePCl3: relaxed, PBE.

Structure (CIF):
```
data_FePCl3
_chemical_formula_sum 'Fe1 P1 Cl3'
_cell_length_a 4.5403
_cell_length_b 4.5403
_cell_length_c 4.5403
_cell_angle_alpha 90.00
_cell_angle_beta 90.00
_cell_angle_gamma 90.00
_symmetry_space_group_name_H-M 'P m -3 m'
_symmetry_Int_Tables_number 221
_symmetry_space_group_name_Hall '-P 4 2 3'
loop_
_atom_site_label
_atom_site_fract_x
_atom_site_fract_y
_atom_site_fract_z
Fe1 0.0000 0.0000 0.0000
P1 0.5000 0.5000 0.5000
Cl1 0.0000 0.0000 0.5000
```

***

Record-wise polymorph energy (0 for the lowest one) values, in meV per atom: 491.9; 1172.5; 298.7; 982.8; 916.5; 1165.0; 473.5; 450.9
Record-wise energy relative to the elements, uncorrected values, in meV per atom: 18; 960; 86; 770; 443; 692; 470; 447